Entry 1:
3
Lattice="0.000 3.147 3.147 3.147 0.000 3.147 3.147 3.147 0.000" Properties=species:S:1:pos:R:3 comment="PBE LiZnSe, optimized geometry" raw_formation_energy_ev_per_atom=-0.3408 magmom_total_mub_per_fu=0.000 relative_energy_kj_per_mol_atoms=30.9 spacegroup=F-43m pbc="T T T"
Li 0.000 0.000 0.000
Zn 4.720 4.720 4.720
Se 3.147 3.147 3.147


Entry 2:
3
Lattice="2.867 0.000 0.000 0.000 3.862 0.000 0.000 0.000 5.528" Properties=species:S:1:pos:R:3 comment="PBE LiZnSe, optimized geometry" raw_formation_energy_ev_per_atom=-0.3983 magmom_total_mub_per_fu=0.000 relative_energy_kj_per_mol_atoms=25.3 spacegroup=Pmm2 pbc="T T T"
Li 0.000 0.000 0.000
Zn 1.433 0.000 2.448
Se 1.433 1.931 4.380


Entry 3:
3
Lattice="4.081 0.000 0.000 2.031 3.553 0.000 1.679 -0.911 4.180" Properties=species:S:1:pos:R:3 comment="PBE LiZnSe, optimized geometry" raw_formation_energy_ev_per_atom=-0.4885 magmom_total_mub_per_fu=0.000 relative_energy_kj_per_mol_atoms=16.6 spacegroup=P1 pbc="T T T"
Li 0.000 0.000 0.000
Zn 2.011 1.210 2.447
Se 4.014 2.425 1.154